# Tm3CoBi PBE-GGA relaxed
# - E above lowest polymorph (eV/atom) = 0.0000
# - ΔH_f (0 K) (eV/atom) = -0.36
# - VASP energy (eV for the cell shown) = -26.19
# - crystal system = cubic
# - space group = No. 221
data_Tm3CoBi
_chemical_formula_sum 'Tm3 Co1 Bi1'
_space_group_name_H-M_alt 'P 1'
_space_group_IT_number 1
_space_group_name_Hall 'P 1'
_cell_length_a 5.107
_cell_length_b 5.107
_cell_length_c 5.107
_cell_angle_alpha 90.00
_cell_angle_beta 90.00
_cell_angle_gamma 90.00
loop_
_atom_site_label
_atom_site_type_symbol
_atom_site_fract_x
_atom_site_fract_y
_atom_site_fract_z
Tm1 Tm 0.000 0.000 0.500
Tm2 Tm 0.000 0.500 0.000
Tm3 Tm 0.500 0.000 0.000
Co1 Co 0.000 0.000 0.000
Bi1 Bi 0.500 0.500 0.500